1.
PBE Rb2ZrGePd, optimized geometry; uncorrected energy = -2.966 eV per atom; total magnetic moment = 0.32 Bohr magnetons per cell; formation energy from the elements = 1.093 eV/atom; DOS(E_F) = 4.8 states/eV per cell; symmetry = P4/mmm, No. 123; calculated volume = 234.53 Å³/cell
1.0
6.9191 0.0000 0.0000
0.0000 6.9191 0.0000
0.0000 0.0000 4.8990
Rb Zr Ge Pd
2 1 1 1
Cartesian
0.0000 3.4596 0.0000 Rb
3.4596 0.0000 0.0000 Rb
0.0000 0.0000 0.0000 Zr
3.4596 3.4596 2.4495 Ge
0.0000 0.0000 2.4495 Pd


2.
PBE Re2Ge2Pd, optimized geometry; uncorrected energy = -7.565 eV per atom; E above lowest polymorph = 0.0 meV per atom; total magnetic moment = 0.00 Bohr magnetons per cell; formation energy from the elements = 0.300 eV/atom; DOS(E_F) = 6.4 states/eV per cell; symmetry = P4/mbm, No. 127; calculated volume = 153.86 Å³/cell
1.0
7.2157 0.0000 0.0000
0.0000 7.2157 0.0000
0.0000 0.0000 2.9551
Re Ge Pd
4 4 2
Cartesian
1.0433 2.5646 0.0000 Re
2.5646 6.1724 0.0000 Re
4.6511 1.0433 0.0000 Re
6.1724 4.6511 0.0000 Re
1.0945 4.7024 1.4776 Ge
2.5133 1.0945 1.4776 Ge
4.7024 6.1212 1.4776 Ge
6.1212 2.5133 1.4776 Ge
0.0000 0.0000 1.4776 Pd
3.6079 3.6079 1.4776 Pd


3.
PBE ReGe2Pd2, optimized geometry; uncorrected energy = -6.176 eV per atom; E above lowest polymorph = 172.3 meV per atom; total magnetic moment = 0.00 Bohr magnetons per cell; formation energy from the elements = 0.238 eV/atom; DOS(E_F) = 6.7 states/eV per cell; symmetry = P4/mbm, No. 127; calculated volume = 156.11 Å³/cell
1.0
7.4706 0.0000 0.0000
0.0000 7.4706 0.0000
0.0000 0.0000 2.7972
Re Ge Pd
2 4 4
Cartesian
0.0000 0.0000 0.0000 Re
3.7353 3.7353 0.0000 Re
1.2761 2.4592 1.3986 Ge
2.4592 6.1945 1.3986 Ge
5.0115 1.2761 1.3986 Ge
6.1945 5.0115 1.3986 Ge
0.9844 4.7197 0.0000 Pd
2.7509 0.9844 0.0000 Pd
4.7197 6.4862 0.0000 Pd
6.4862 2.7509 0.0000 Pd


4.
PBE Re2GePd2, optimized geometry; uncorrected energy = -7.344 eV per atom; E above lowest polymorph = 305.1 meV per atom; total magnetic moment = 0.00 Bohr magnetons per cell; formation energy from the elements = 0.635 eV/atom; DOS(E_F) = 9.6 states/eV per cell; symmetry = I4/mmm, No. 139; calculated volume = 165.27 Å³/cell
1.0
3.5578 0.0000 0.0000
0.0000 3.5578 0.0000
0.0000 0.0000 13.0570
Re Ge Pd
4 2 4
Cartesian
0.0000 0.0000 1.2340 Re
0.0000 0.0000 11.8229 Re
1.7789 1.7789 5.2945 Re
1.7789 1.7789 7.7625 Re
0.0000 0.0000 6.5285 Ge
1.7789 1.7789 0.0000 Ge
0.0000 1.7789 3.2642 Pd
0.0000 1.7789 9.7927 Pd
1.7789 0.0000 3.2642 Pd
1.7789 0.0000 9.7927 Pd


5.
PBE ReGePd2, optimized geometry; uncorrected energy = -6.437 eV per atom; E above lowest polymorph = 40.4 meV per atom; total magnetic moment = 5.81 Bohr magnetons per cell; formation energy from the elements = 0.426 eV/atom; DOS(E_F) = 17.7 states/eV per cell; symmetry = I-42d, No. 122; calculated volume = 262.62 Å³/cell
1.0
3.7566 0.0000 0.0000
0.0000 3.7566 0.0000
0.0000 0.0000 18.6091
Re Ge Pd
4 4 8
Cartesian
0.0000 0.0000 0.0000 Re
0.0000 1.8783 4.6523 Re
1.8783 0.0000 13.9568 Re
1.8783 1.8783 9.3045 Re
0.0000 0.0000 9.3045 Ge
0.0000 1.8783 13.9568 Ge
1.8783 0.0000 4.6523 Ge
1.8783 1.8783 0.0000 Ge
0.9350 0.9392 11.6307 Pd
0.9392 2.8133 16.2830 Pd
0.9392 2.8216 6.9784 Pd
0.9433 0.9392 2.3261 Pd
2.8133 2.8175 2.3261 Pd
2.8175 0.9350 6.9784 Pd
2.8175 0.9433 16.2830 Pd
2.8216 2.8175 11.6307 Pd


6.
PBE Re2Ge2Pd, optimized geometry; uncorrected energy = -7.427 eV per atom; E above lowest polymorph = 137.5 meV per atom; total magnetic moment = 0.00 Bohr magnetons per cell; formation energy from the elements = 0.437 eV/atom; DOS(E_F) = 6.6 states/eV per cell; symmetry = I4/mmm, No. 139; calculated volume = 168.96 Å³/cell
1.0
3.8735 0.0000 0.0000
0.0000 3.8735 0.0000
0.0000 0.0000 11.2609
Re Ge Pd
4 4 2
Cartesian
0.0000 1.9368 2.8152 Re
0.0000 1.9368 8.4457 Re
1.9368 0.0000 2.8152 Re
1.9368 0.0000 8.4457 Re
0.0000 0.0000 1.1712 Ge
0.0000 0.0000 10.0896 Ge
1.9368 1.9368 4.4592 Ge
1.9368 1.9368 6.8017 Ge
0.0000 0.0000 5.6304 Pd
1.9368 1.9368 0.0000 Pd


7.
PBE ReGe2Pd2, optimized geometry; uncorrected energy = -6.348 eV per atom; E above lowest polymorph = 0.0 meV per atom; total magnetic moment = 0.00 Bohr magnetons per cell; formation energy from the elements = 0.065 eV/atom; DOS(E_F) = 5.3 states/eV per cell; symmetry = P4/mbm, No. 127; calculated volume = 153.49 Å³/cell
1.0
7.2444 0.0000 0.0000
0.0000 7.2444 0.0000
0.0000 0.0000 2.9246
Re Ge Pd
2 4 4
Cartesian
0.0000 0.0000 0.0000 Re
3.6222 3.6222 0.0000 Re
1.1588 2.4634 0.0000 Ge
2.4634 6.0856 0.0000 Ge
4.7810 1.1588 0.0000 Ge
6.0856 4.7810 0.0000 Ge
1.0067 4.6289 1.4623 Pd
2.6156 1.0067 1.4623 Pd
4.6289 6.2378 1.4623 Pd
6.2378 2.6156 1.4623 Pd


8.
PBE ReGe2Pd2, optimized geometry; uncorrected energy = -5.868 eV per atom; E above lowest polymorph = 480.2 meV per atom; total magnetic moment = 4.96 Bohr magnetons per cell; formation energy from the elements = 0.546 eV/atom; DOS(E_F) = 6.5 states/eV per cell; symmetry = I4/mmm, No. 139; calculated volume = 169.57 Å³/cell
1.0
3.7110 0.0000 0.0000
0.0000 3.7110 0.0000
0.0000 0.0000 12.3130
Re Ge Pd
2 4 4
Cartesian
0.0000 0.0000 0.0000 Re
1.8555 1.8555 6.1565 Re
0.0000 1.8555 3.0783 Ge
0.0000 1.8555 9.2348 Ge
1.8555 0.0000 3.0783 Ge
1.8555 0.0000 9.2348 Ge
0.0000 0.0000 4.8555 Pd
0.0000 0.0000 7.4576 Pd
1.8555 1.8555 1.3011 Pd
1.8555 1.8555 11.0120 Pd


9.
PBE Re2GePd2, optimized geometry; uncorrected energy = -7.649 eV per atom; E above lowest polymorph = 0.0 meV per atom; total magnetic moment = 0.00 Bohr magnetons per cell; formation energy from the elements = 0.330 eV/atom; DOS(E_F) = 9.2 states/eV per cell; symmetry = P4/mbm, No. 127; calculated volume = 165.89 Å³/cell
1.0
6.3498 0.0000 0.0000
0.0000 6.3498 0.0000
0.0000 0.0000 4.1144
Re Ge Pd
4 2 4
Cartesian
0.8496 2.3252 0.0000 Re
2.3252 5.5001 0.0000 Re
4.0245 0.8496 0.0000 Re
5.5001 4.0245 0.0000 Re
0.0000 0.0000 0.0000 Ge
3.1749 3.1749 0.0000 Ge
0.9882 4.1631 2.0572 Pd
2.1867 0.9882 2.0572 Pd
4.1631 5.3616 2.0572 Pd
5.3616 2.1867 2.0572 Pd


10.
PBE ReGePd3, optimized geometry; uncorrected energy = -5.546 eV per atom; E above lowest polymorph = 0.0 meV per atom; total magnetic moment = 4.16 Bohr magnetons per cell; formation energy from the elements = 0.983 eV/atom; DOS(E_F) = 3.7 states/eV per cell; symmetry = Pm-3m, No. 221; calculated volume = 96.78 Å³/cell
1.0
4.5913 0.0000 0.0000
0.0000 4.5913 0.0000
0.0000 0.0000 4.5913
Re Ge Pd
1 1 3
Cartesian
0.0000 0.0000 0.0000 Re
2.2956 2.2956 2.2956 Ge
0.0000 2.2956 2.2956 Pd
2.2956 0.0000 2.2956 Pd
2.2956 2.2956 0.0000 Pd


11.
PBE ReGePd3, optimized geometry; uncorrected energy = -5.311 eV per atom; E above lowest polymorph = 234.1 meV per atom; total magnetic moment = 0.00 Bohr magnetons per cell; formation energy from the elements = 1.217 eV/atom; DOS(E_F) = 4.1 states/eV per cell; symmetry = Pm-3m, No. 221; calculated volume = 111.92 Å³/cell
1.0
4.8192 0.0000 0.0000
0.0000 4.8192 0.0000
0.0000 0.0000 4.8192
Re Ge Pd
1 1 3
Cartesian
0.0000 0.0000 0.0000 Re
2.4096 2.4096 2.4096 Ge
0.0000 0.0000 2.4096 Pd
0.0000 2.4096 0.0000 Pd
2.4096 0.0000 0.0000 Pd


12.
PBE ReGePd2, optimized geometry; uncorrected energy = -6.478 eV per atom; E above lowest polymorph = 0.0 meV per atom; total magnetic moment = 7.96 Bohr magnetons per cell; formation energy from the elements = 0.385 eV/atom; DOS(E_F) = 10.4 states/eV per cell; symmetry = Fm-3m, No. 225; calculated volume = 250.48 Å³/cell
1.0
6.3036 0.0000 0.0000
0.0000 6.3036 0.0000
0.0000 0.0000 6.3036
Re Ge Pd
4 4 8
Cartesian
0.0000 0.0000 0.0000 Re
0.0000 3.1518 3.1518 Re
3.1518 0.0000 3.1518 Re
3.1518 3.1518 0.0000 Re
0.0000 0.0000 3.1518 Ge
0.0000 3.1518 0.0000 Ge
3.1518 0.0000 0.0000 Ge
3.1518 3.1518 3.1518 Ge
1.5759 1.5759 1.5759 Pd
1.5759 1.5759 4.7277 Pd
1.5759 4.7277 1.5759 Pd
1.5759 4.7277 4.7277 Pd
4.7277 1.5759 1.5759 Pd
4.7277 1.5759 4.7277 Pd
4.7277 4.7277 1.5759 Pd
4.7277 4.7277 4.7277 Pd